DFT (GGA-PBE) results for a relaxed structure of Dy3ScAg.

N(E_F): 10.99 states/eV per cell
total energy: -4.5875 eV per atom
space-group type: C2/m, No. 12
energy of formation from the pure elements: 0.01 eV/atom
volume: 141.0 Å³/f.u.

```
Dy3ScAg
1.0
5.4652 -3.6318 0.0000
5.4652 3.6318 0.0000
-2.9775 0.0000 7.1044
Dy Sc Ag
6 2 2
direct
0.0471 0.0471 0.2341 Dy
0.0885 0.5799 0.3518 Dy
0.4201 0.9115 0.6482 Dy
0.5799 0.0885 0.3518 Dy
0.9115 0.4201 0.6482 Dy
0.9529 0.9529 0.7659 Dy
0.4413 0.4413 0.7592 Sc
0.5587 0.5587 0.2408 Sc
0.2669 0.2669 0.9978 Ag
0.7331 0.7331 0.0022 Ag
```